No. 1
Crystalline LiTa4CdN8 at its relaxed geometry. Source: the Alexandria database, functional PBE.

Structure (POSCAR):
```
LiTa4CdN8
1.0
6.3184 0.0000 0.0000
3.1592 5.4719 0.0000
3.1592 1.8240 5.1324
N Ta Li Cd
8 4 1 1
Direct
0.2463 0.2463 0.7093
0.7566 0.7566 0.7303
0.2365 0.2365 0.2904
0.2463 0.7982 0.7093
0.7438 0.2409 0.2715
0.7438 0.7438 0.2715
0.7982 0.2463 0.7093
0.2409 0.7438 0.2715
0.6215 0.6215 0.1355
0.4850 0.0030 0.5089
0.0030 0.0030 0.5089
0.0030 0.4850 0.5089
0.9992 0.9992 0.0025
0.3759 0.3759 0.8724
```

Values from the calculation:
The uncorrected formation energy comes out at -640.1 meV/atom. The value obtained for the total energy is -8.986 eV/atom. The calculation puts the density at 8.94 g/cm³. Its space group is R3m.

---

No. 2
Crystalline Er3InHg4 at its relaxed geometry. Source: the Alexandria database, functional PBE.

Structure (POSCAR):
```
Er3InHg4
1.0
-3.4887 -0.4012 3.7251
-4.8245 -1.2794 -1.1383
-0.7756 -8.9441 1.8281
In Er Hg
1 3 4
Direct
0.0000 0.0000 0.0000
0.5000 0.5000 0.5000
0.7434 0.7434 0.7697
0.2566 0.2566 0.2303
0.1317 0.1317 0.6050
0.8683 0.8683 0.3950
0.6207 0.6207 0.1380
0.3793 0.3793 0.8620
```

Values from the calculation:
The value obtained for the total energy is -2.624 eV/atom. The formation enthalpy at 0 K comes out at -0.420 eV per atom. The calculation puts the density at 11.97 g/cm³. Its space group is R-3m. Its excess energy over the best structure of this formula in the dataset is 0.000 eV per atom.

---

No. 3
Crystalline InCoGe2 at its relaxed geometry. Source: the Alexandria database, functional PBE.

Structure (POSCAR):
```
InCoGe2
1.0
-1.1120 -2.2408 3.6782
4.2603 -0.0141 1.2794
0.4539 5.6754 6.2845
Co Ge In
2 4 2
Direct
0.2500 0.7500 0.5000
0.5000 0.5000 0.0000
0.5336 0.1250 0.2500
0.2164 0.6250 0.2500
0.8750 0.7836 0.7500
0.3750 0.4664 0.7500
0.7500 0.2500 0.5000
0.0000 0.0000 0.0000
```

Values from the calculation:
The value obtained for the total energy is -4.540 eV/atom. The formation enthalpy at 0 K comes out at 0.230 eV per atom. The calculation puts the density at 6.80 g/cm³. Its space group is I-42d.

---

No. 4
Crystalline Hf3CrPd at its relaxed geometry. Source: the Alexandria database, functional PBE.

Structure (POSCAR):
```
Hf3CrPd
1.0
4.7413 0.0000 0.0000
0.0000 4.7413 0.0000
0.0000 0.0000 4.7413
Hf Pd Cr
3 1 1
Direct
0.0000 0.0000 0.5000
0.0000 0.5000 0.0000
0.5000 0.0000 0.0000
0.5000 0.5000 0.5000
0.0000 0.0000 0.0000
```

Values from the calculation:
The value obtained for the total energy is -8.409 eV/atom. The formation enthalpy at 0 K comes out at 0.526 eV per atom. The calculation puts the density at 10.81 g/cm³. Its space group is Pm-3m. Its excess energy over the best structure of this formula in the dataset is 0.000 eV per atom.